Entry 1:
# LaCrIr2

A relaxed structure of LaCrIr2 (PBE, Alexandria).

```
LaCrIr2
1.0
-2.660 0.447 5.254
-0.158 -4.490 3.834
3.045 3.931 -3.187
Ir Cr La
2 1 1
Cartesian
-0.583 1.077 3.532
-2.808 -4.028 9.053
0.830 -1.160 2.302
-1.440 -2.066 4.644
```

Computed properties:
ρ in g/cm³: 12.6
Space-group type: Imm2 (44)
ΔE_f in eV/atom: 0.115

Entry 2:
# Co2CuHg

A relaxed structure of Co2CuHg (PBE, Alexandria).

```
Co2CuHg
1.0
2.901 0.019 0.000
-0.019 2.901 0.000
0.000 0.000 6.631
Hg Co Cu
1 2 1
Cartesian
1.441 1.460 4.995
1.441 1.460 1.551
0.000 0.000 0.351
0.000 0.000 3.049
```

Computed properties:
ρ in g/cm³: 11.4
Space-group type: P4mm (99)
ΔE_f in eV/atom: 0.256

Entry 3:
# LiZnCuGe2

A relaxed structure of LiZnCuGe2 (PBE, Alexandria).

```
LiZnCuGe2
1.0
-0.818 -3.661 2.467
-2.287 -1.747 -3.351
3.753 -1.898 -1.572
Zn Ge Li Cu
1 2 1 1
Cartesian
-1.144 -0.873 -1.676
-0.409 -1.830 1.233
1.876 -0.949 -0.786
0.000 0.000 0.000
0.324 -3.653 -1.228
```

Computed properties:
ρ in g/cm³: 5.2
Space-group type: P4/mmm (123)
ΔE_f in eV/atom: 0.586

Entry 4:
# BaNiBr2

A relaxed structure of BaNiBr2 (PBE, Alexandria).

```
BaNiBr2
1.0
-5.359 -2.013 1.543
1.812 -0.514 5.622
-3.933 5.491 4.896
Br Ni Ba
4 2 2
Cartesian
-3.548 0.260 2.730
-6.242 1.961 9.356
-1.079 0.590 5.091
-4.091 3.117 6.944
-1.947 1.857 7.050
-1.773 -1.264 3.582
0.000 0.000 0.000
-5.533 1.107 5.011
```

Computed properties:
Raw formation energy in kJ per mole of atoms: -75.04
ρ in g/cm³: 4.7
Space-group type: I-42d (122)

Entry 5:
# SmCdPd

A relaxed structure of SmCdPd (PBE, Alexandria).

```
SmCdPd
1.0
-1.255 -0.237 5.236
4.722 -2.415 1.022
4.263 3.019 1.158
Pd Sm Cd
2 2 2
Cartesian
0.772 0.467 4.367
6.958 -0.100 3.050
6.756 0.865 5.819
0.975 -0.498 1.598
4.014 -0.333 2.334
3.717 0.700 5.083
```

Computed properties:
ρ in g/cm³: 9.0
Space-group type: P2_1/m (11)
ΔE_f in eV/atom: -0.565

Entry 6:
# Hf7Ti2In3

A relaxed structure of Hf7Ti2In3 (PBE, Alexandria).

```
Hf7Ti2In3
1.0
-0.663 2.954 0.435
-5.004 -1.045 -0.534
2.851 -1.824 16.724
Ti Hf In
2 7 3
Cartesian
-2.438 0.331 4.786
-0.379 -0.246 11.839
0.000 0.000 0.000
-1.877 -0.749 2.221
-4.773 0.097 2.813
-2.604 -0.104 7.480
-0.213 0.188 9.145
1.957 -0.013 13.812
-0.277 -2.121 13.968
0.316 -0.830 6.111
-2.834 0.954 -0.049
-2.470 -2.040 10.079
```

Computed properties:
ρ in g/cm³: 10.8
Space-group type: P2/m (10)
ΔE_f in eV/atom: 0.105

Entry 7:
# Sb2OsW

A relaxed structure of Sb2OsW (PBE, Alexandria).

```
Sb2OsW
1.0
4.859 0.000 0.000
0.000 3.166 -0.003
0.000 0.005 4.809
Sb W Os
2 1 1
Cartesian
0.000 2.775 4.803
2.430 1.188 1.222
0.000 1.189 2.513
2.430 2.773 3.478
```

Computed properties:
Raw formation energy in kJ per mole of atoms: 48.14
ρ in g/cm³: 13.9
Space-group type: Pmm2 (25)

Entry 8:
# SrSi2Pt

A relaxed structure of SrSi2Pt (PBE, Alexandria).

```
SrSi2Pt
1.0
-2.620 2.916 -3.718
2.708 -4.323 -1.781
-2.410 -1.671 0.386
Sr Pt Si
1 1 2
Cartesian
-2.515 0.623 -1.666
0.149 -2.997 -0.697
0.000 0.000 0.000
0.044 -0.703 -2.749
```

Computed properties:
Raw formation energy in kJ per mole of atoms: 14.57
ρ in g/cm³: 7.3
Space-group type: Cmmm (65)

Entry 9:
# CaHg2H2

A relaxed structure of CaHg2H2 (PBE, Alexandria).

```
CaHg2H2
1.0
-1.716 2.594 -1.888
-2.750 -0.086 2.381
0.777 5.896 3.889
Ca Hg H
1 2 2
Cartesian
0.000 0.000 0.000
-2.367 5.745 3.033
-1.322 2.660 1.350
-2.103 3.532 3.259
-1.586 4.873 1.124
```

Computed properties:
Electronic total energy in eV/atom: -1.776
ρ in g/cm³: 8.4
Space-group type: I4/mmm (139)

Entry 10:
# Y6TeAs3P2

A relaxed structure of Y6TeAs3P2 (PBE, Alexandria).

```
Y6TeAs3P2
1.0
4.122 0.000 0.000
0.000 8.285 0.322
-2.061 -2.360 8.661
As P Y Te
3 2 6 1
Cartesian
2.061 -0.205 5.889
0.000 6.130 3.095
2.061 4.142 0.161
0.000 1.980 3.011
2.061 3.945 5.972
0.000 2.221 0.155
2.061 4.003 3.123
2.061 -0.039 3.060
0.000 5.964 5.923
2.061 3.704 8.828
0.000 1.923 5.860
2.061 0.000 0.000
```

Computed properties:
Raw formation energy in kJ per mole of atoms: -151.03
ρ in g/cm³: 5.3
Space-group type: C2/m (12)

Entry 11:
# Si2PIr

A relaxed structure of Si2PIr (PBE, Alexandria).

```
Si2PIr
1.0
2.879 0.000 0.000
0.000 2.879 0.000
0.000 0.000 6.803
Si Ir P
2 1 1
Cartesian
0.000 0.000 0.025
1.440 1.440 1.777
0.000 0.000 3.382
1.440 1.440 5.021
```

Computed properties:
Raw formation energy in kJ per mole of atoms: 16.15
ρ in g/cm³: 8.2
Space-group type: P4mm (99)

Entry 12:
# NpAgSe

A relaxed structure of NpAgSe (PBE, Alexandria).

```
NpAgSe
1.0
4.796 0.000 0.000
2.398 4.153 0.000
2.398 1.384 8.232
Np Ag Se
2 2 2
Cartesian
7.194 4.153 6.580
2.398 1.384 1.653
7.194 4.153 3.505
2.398 1.384 4.728
4.796 2.769 7.000
4.796 2.769 1.232
```

Computed properties:
Raw formation energy in kJ per mole of atoms: -28.88
ρ in g/cm³: 8.6
Space-group type: R-3m (166)